(1)
{"formula": "Sn2SbCl7", "functional": "PBE", "state": "relaxed", "crystal_system": "monoclinic", "spacegroup": "C2/c", "lattice": [[8.032, -5.266, 0.000], [8.032, 5.266, 0.000], [-6.393, 0.000, 9.085]], "species": ["Sn", "Sn", "Sn", "Sn", "Sb", "Sb", "Cl", "Cl", "Cl", "Cl", "Cl", "Cl", "Cl", "Cl", "Cl", "Cl", "Cl", "Cl", "Cl", "Cl"], "frac_coords": [[0.125, 0.720, 0.859], [0.280, 0.875, 0.641], [0.720, 0.125, 0.359], [0.875, 0.280, 0.141], [0.230, 0.770, 0.250], [0.770, 0.230, 0.750], [0.050, 0.182, 0.922], [0.104, 0.698, 0.380], [0.182, 0.050, 0.422], [0.261, 0.493, 0.954], [0.302, 0.896, 0.120], [0.351, 0.649, 0.750], [0.493, 0.261, 0.454], [0.507, 0.739, 0.546], [0.649, 0.351, 0.250], [0.698, 0.104, 0.880], [0.739, 0.507, 0.046], [0.818, 0.950, 0.578], [0.896, 0.302, 0.620], [0.950, 0.818, 0.078]]}

---

(2)
{"formula": "Sn2SbCl8", "functional": "PBE", "state": "relaxed", "crystal_system": "monoclinic", "spacegroup": "C2/m", "lattice": [[6.231, -4.564, 0.000], [6.231, 4.564, 0.000], [-2.501, 0.000, 6.440]], "species": ["Sn", "Sn", "Sb", "Cl", "Cl", "Cl", "Cl", "Cl", "Cl", "Cl", "Cl"], "frac_coords": [[0.154, 0.154, 0.227], [0.846, 0.846, 0.773], [0.500, 0.500, 0.000], [0.080, 0.080, 0.833], [0.169, 0.567, 0.761], [0.374, 0.374, 0.225], [0.433, 0.831, 0.239], [0.567, 0.169, 0.761], [0.626, 0.626, 0.775], [0.831, 0.433, 0.239], [0.920, 0.920, 0.167]]}

---

(3)
{"formula": "Sn2Sb2Cl", "functional": "PBE", "state": "relaxed", "crystal_system": "tetragonal", "spacegroup": "I4/mmm", "lattice": [[-2.427, 2.427, 6.758], [2.427, -2.427, 6.758], [2.427, 2.427, -6.758]], "species": ["Sn", "Sn", "Sb", "Sb", "Cl"], "frac_coords": [[0.250, 0.750, 0.500], [0.750, 0.250, 0.500], [0.119, 0.119, 0.000], [0.881, 0.881, 0.000], [0.500, 0.500, 0.000]]}

---

(4)
{"formula": "SnSb3Cl", "functional": "PBE", "state": "relaxed", "crystal_system": "cubic", "spacegroup": "Pm-3m", "lattice": [[5.680, 0.000, 0.000], [0.000, 5.680, 0.000], [0.000, 0.000, 5.680]], "species": ["Sn", "Sb", "Sb", "Sb", "Cl"], "frac_coords": [[0.000, 0.000, 0.000], [0.000, 0.000, 0.500], [0.000, 0.500, 0.000], [0.500, 0.000, 0.000], [0.500, 0.500, 0.500]]}

---

(5)
{"formula": "Sn2Sb2Cl", "functional": "PBE", "state": "relaxed", "crystal_system": "tetragonal", "spacegroup": "P4/mbm", "lattice": [[8.418, 0.000, 0.000], [0.000, 8.418, 0.000], [0.000, 0.000, 3.944]], "species": ["Sn", "Sn", "Sn", "Sn", "Sb", "Sb", "Sb", "Sb", "Cl", "Cl"], "frac_coords": [[0.160, 0.340, 0.000], [0.340, 0.840, 0.000], [0.660, 0.160, 0.000], [0.840, 0.660, 0.000], [0.136, 0.636, 0.500], [0.364, 0.136, 0.500], [0.636, 0.864, 0.500], [0.864, 0.364, 0.500], [0.000, 0.000, 0.000], [0.500, 0.500, 0.000]]}

---

(6)
{"formula": "SnSb2Cl", "functional": "PBE", "state": "relaxed", "crystal_system": "tetragonal", "spacegroup": "I-42d", "lattice": [[-3.702, 3.702, 5.455], [3.702, -3.702, 5.455], [3.702, 3.702, -5.455]], "species": ["Sn", "Sn", "Sb", "Sb", "Sb", "Sb", "Cl", "Cl"], "frac_coords": [[0.000, 0.000, 0.000], [0.750, 0.250, 0.500], [0.115, 0.625, 0.990], [0.375, 0.365, 0.490], [0.635, 0.125, 0.010], [0.875, 0.885, 0.510], [0.250, 0.750, 0.500], [0.500, 0.500, 0.000]]}

---

(7)
{"formula": "SnSbTe2Cl", "functional": "PBE", "state": "relaxed", "crystal_system": "tetragonal", "spacegroup": "P4/mmm", "lattice": [[5.561, 0.000, 0.000], [0.000, 5.561, 0.000], [0.000, 0.000, 5.201]], "species": ["Sn", "Sb", "Te", "Te", "Cl"], "frac_coords": [[0.000, 0.000, 0.000], [0.500, 0.500, 0.000], [0.000, 0.500, 0.500], [0.500, 0.000, 0.500], [0.500, 0.500, 0.500]]}

---

(8)
{"formula": "SnSbTe2Cl", "functional": "PBE", "state": "relaxed", "crystal_system": "tetragonal", "spacegroup": "P4/mmm", "lattice": [[5.654, 0.000, 0.000], [0.000, 5.654, 0.000], [0.000, 0.000, 5.828]], "species": ["Sn", "Sb", "Te", "Te", "Cl"], "frac_coords": [[0.000, 0.000, 0.000], [0.000, 0.000, 0.500], [0.000, 0.500, 0.000], [0.500, 0.000, 0.000], [0.500, 0.500, 0.500]]}

---

Number 1: E_form (uncorrected) -0.91 eV/atom, uncorrected energy -3.417 eV per atom, magnetic moment 0.000 μB/f.u.. Number 2: E_form (uncorrected) -0.87 eV/atom, uncorrected energy -3.315 eV per atom, magnetic moment 0.000 μB/f.u.. Number 3: E_form (uncorrected) -0.10 eV/atom, uncorrected energy -3.722 eV per atom, magnetic moment 0.000 μB/f.u.. Number 4: E_form (uncorrected) 0.69 eV/atom, uncorrected energy -2.951 eV per atom, magnetic moment 0.000 μB/f.u.. Number 5: E_form (uncorrected) -0.07 eV/atom, uncorrected energy -3.689 eV per atom, magnetic moment 0.000 μB/f.u.. Number 6: E_form (uncorrected) 0.20 eV/atom, uncorrected energy -3.322 eV per atom, magnetic moment 0.000 μB/f.u.. Number 7: E_form (uncorrected) 0.55 eV/atom, uncorrected energy -2.696 eV per atom, magnetic moment 0.000 μB/f.u.. Number 8: E_form (uncorrected) 0.54 eV/atom, uncorrected energy -2.711 eV per atom, magnetic moment 0.000 μB/f.u..